(1)
A relaxed structure of TmScF5, computed with PBE.

Calculated values
Calculated density = 4.6 g/cm³
Space-group type = C2/c
Spin magnetization = 0.46 μB/cell
Raw formation energy = -3.790 eV per atom
Crystal system = monoclinic

a b c (Å): 5.801 5.801 7.364
angles (deg): 108.21 108.21 76.43
Positions (direct):
Tm 0.036 0.964 0.750
Tm 0.964 0.036 0.250
Sc 0.500 0.500 0.000
Sc 0.500 0.500 0.500
F 0.170 0.822 0.032
F 0.178 0.830 0.468
F 0.236 0.274 0.375
F 0.274 0.236 0.875
F 0.342 0.658 0.750
F 0.658 0.342 0.250
F 0.726 0.764 0.125
F 0.764 0.726 0.625
F 0.822 0.170 0.532
F 0.830 0.178 0.968

=====

(2)
A relaxed structure of TmSc2F8, computed with PBE.

Calculated values
Calculated density = 4.4 g/cm³
Space-group type = C2/m
Spin magnetization = 1.02 μB/cell
Raw formation energy = -3.797 eV per atom
Crystal system = monoclinic

a b c (Å): 5.628 5.628 5.243
angles (deg): 101.90 101.90 74.20
Positions (direct):
Tm 0.000 0.000 0.000
Sc 0.330 0.330 0.562
Sc 0.670 0.670 0.438
F 0.051 0.658 0.709
F 0.161 0.161 0.771
F 0.342 0.949 0.291
F 0.433 0.433 0.246
F 0.567 0.567 0.754
F 0.658 0.051 0.709
F 0.839 0.839 0.229
F 0.949 0.342 0.291

=====

(3)
A relaxed structure of Tm2ScF, computed with PBE.

Calculated values
Calculated density = 7.5 g/cm³
Space-group type = R-3m
Spin magnetization = 0.00 μB/cell
Raw formation energy = -1.104 eV per atom
Crystal system = trigonal

a b c (Å): 3.560 3.560 24.302
angles (deg): 90.00 90.00 120.00
Positions (direct):
Tm 0.000 0.000 0.227
Tm 0.000 0.000 0.773
Tm 0.333 0.667 0.440
Tm 0.333 0.667 0.893
Tm 0.667 0.333 0.107
Tm 0.667 0.333 0.560
Sc 0.000 0.000 0.000
Sc 0.333 0.667 0.667
Sc 0.667 0.333 0.333
F 0.000 0.000 0.500
F 0.333 0.667 0.167
F 0.667 0.333 0.833

=====

(4)
A relaxed structure of ScUF6, computed with PBE.

Calculated values
Calculated density = 5.3 g/cm³
Space-group type = C2/m
Spin magnetization = 6.00 μB/cell
Raw formation energy = -3.587 eV per atom
Crystal system = monoclinic

a b c (Å): 5.701 8.150 5.405
angles (deg): 90.00 100.66 90.00
Positions (direct):
Sc 0.000 0.000 0.000
Sc 0.500 0.500 0.000
U 0.000 0.500 0.500
U 0.500 0.000 0.500
F 0.190 0.161 0.257
F 0.190 0.839 0.257
F 0.226 0.500 0.190
F 0.274 0.000 0.810
F 0.310 0.339 0.743
F 0.310 0.661 0.743
F 0.690 0.339 0.257
F 0.690 0.661 0.257
F 0.726 0.000 0.190
F 0.774 0.500 0.810
F 0.810 0.161 0.743
F 0.810 0.839 0.743

=====

raw formation energy of number 3 (Tm2ScF)?
-1.104 eV per atom